Here is a relaxed BaSiPb3 crystal from the Alexandria database. Energies are from PBE.

Summary:
As for the total energy: -3.6195 eV/atom. As for the density of states at the Fermi level: 4.00 states/eV/cell. The formation energy (no corrections) is 75 meV/atom.

a = 5.5638 Å, b = 5.5638 Å, c = 5.5638 Å
α = 90.00°, β = 90.00°, γ = 90.00°
Element x y z (fractional)
Ba (0.0000, 0.0000, 0.0000)
Si (0.5000, 0.5000, 0.5000)
Pb (0.0000, 0.5000, 0.5000)
Pb (0.5000, 0.0000, 0.5000)
Pb (0.5000, 0.5000, 0.0000)

=====

Here is a relaxed OsPbSe2 crystal from the Alexandria database. Energies are from PBE.

Summary:
As for the total energy: -4.5983 eV/atom. As for the density of states at the Fermi level: 2.11 states/eV/cell. The formation energy (no corrections) is 878 meV/atom.

a = 5.1754 Å, b = 5.1754 Å, c = 5.1754 Å
α = 129.71°, β = 129.71°, γ = 73.88°
Element x y z (fractional)
Os (0.0000, 0.0000, 0.0000)
Pb (0.2500, 0.7500, 0.5000)
Se (0.5000, 0.5000, 0.0000)
Se (0.7500, 0.2500, 0.5000)

=====

Here is a relaxed LaSe2NCl crystal from the Alexandria database. Energies are from PBE.

Summary:
As for the total energy: -4.0754 eV/atom. As for the density of states at the Fermi level: 1.51 states/eV/cell. The formation energy (no corrections) is 338 meV/atom.

a = 6.1800 Å, b = 6.1800 Å, c = 4.2874 Å
α = 90.00°, β = 90.00°, γ = 90.00°
Element x y z (fractional)
La (0.0000, 0.0000, 0.0000)
Se (0.0000, 0.5000, 0.0000)
Se (0.5000, 0.0000, 0.0000)
N (0.0000, 0.0000, 0.5000)
Cl (0.5000, 0.5000, 0.5000)

=====

Here is a relaxed Th6SbP2Se3 crystal from the Alexandria database. Energies are from PBE.

Summary:
As for the total energy: -7.2727 eV/atom. As for the density of states at the Fermi level: 9.18 states/eV/cell. The formation energy (no corrections) is -1446 meV/atom.

a = 9.4599 Å, b = 9.4599 Å, c = 8.4886 Å
α = 102.17°, β = 102.17°, γ = 25.87°
Element x y z (fractional)
Th (0.0102, 0.0102, 0.2686)
Th (0.3264, 0.3264, 0.8967)
Th (0.3297, 0.3297, 0.4278)
Th (0.6703, 0.6703, 0.5722)
Th (0.6736, 0.6736, 0.1033)
Th (0.9898, 0.9898, 0.7314)
Sb (0.5000, 0.5000, 0.0000)
P (0.1703, 0.1703, 0.3358)
P (0.8297, 0.8297, 0.6642)
Se (0.1599, 0.1599, 0.8323)
Se (0.5000, 0.5000, 0.5000)
Se (0.8401, 0.8401, 0.1677)

=====

Here is a relaxed Ba3MoAu crystal from the Alexandria database. Energies are from PBE.

Summary:
The value obtained for the formation energy is 0.56 eV/atom. As for the total energy: -3.4134 eV/atom. As for the density of states at the Fermi level: 4.27 states/eV/cell.

a = 5.8667 Å, b = 5.8667 Å, c = 5.8667 Å
α = 90.00°, β = 90.00°, γ = 90.00°
Element x y z (fractional)
Ba (0.0000, 0.0000, 0.5000)
Ba (0.0000, 0.5000, 0.0000)
Ba (0.5000, 0.0000, 0.0000)
Mo (0.0000, 0.0000, 0.0000)
Au (0.5000, 0.5000, 0.5000)

=====

Here is a relaxed ThMgCoRh crystal from the Alexandria database. Energies are from PBE.

Summary:
The value obtained for the formation energy is -0.36 eV/atom. As for the total energy: -6.2313 eV/atom. As for the density of states at the Fermi level: 3.31 states/eV/cell.

a = 4.7196 Å, b = 4.7196 Å, c = 4.7196 Å
α = 60.00°, β = 60.00°, γ = 60.00°
Element x y z (fractional)
Th (0.0000, 0.0000, 0.0000)
Mg (0.5000, 0.5000, 0.5000)
Co (0.2500, 0.2500, 0.2500)
Rh (0.7500, 0.7500, 0.7500)

=====

Here is a relaxed LiPuTcPt crystal from the Alexandria database. Energies are from PBE.

Summary:
The value obtained for the formation energy is -0.21 eV/atom. As for the total energy: -8.3774 eV/atom. As for the density of states at the Fermi level: 4.48 states/eV/cell.

a = 4.5596 Å, b = 4.5596 Å, c = 4.5596 Å
α = 60.00°, β = 60.00°, γ = 60.00°
Element x y z (fractional)
Li (0.0000, 0.0000, 0.0000)
Pu (0.5000, 0.5000, 0.5000)
Tc (0.7500, 0.7500, 0.7500)
Pt (0.2500, 0.2500, 0.2500)

=====

Here is a relaxed BeAgSb2 crystal from the Alexandria database. Energies are from PBE.

Summary:
As for the total energy: -3.2082 eV/atom. As for the density of states at the Fermi level: 2.09 states/eV/cell. The formation energy (no corrections) is 497 meV/atom.

a = 4.0388 Å, b = 4.0596 Å, c = 5.2204 Å
α = 90.00°, β = 90.00°, γ = 90.00°
Element x y z (fractional)
Be (0.0000, 0.0000, 0.0000)
Ag (0.0000, 0.5000, 0.5000)
Sb (0.5000, 0.0000, 0.5000)
Sb (0.5000, 0.5000, 0.0000)